Entry 1:
Density functional theory data (PBE) for a geometry-optimized YAgHgRh structure.

Properties
The value obtained for the energy of formation from the pure elements is -0.331 eV per atom. The space group is F-43m. The mass density comes out at 10.4 g/cm³.

Cell lengths 4.835, 4.835, 4.835 Å; angles 60.00, 60.00, 60.00 degrees
Sites, in units of the cell vectors:
Ag  0.000  0.000  0.000
Rh  0.500  0.500  0.500
Y  0.750  0.750  0.750
Hg  0.250  0.250  0.250

***

Entry 2:
Density functional theory data (PBE) for a geometry-optimized SrLi2TiSe4 structure.

Properties
The value obtained for the raw formation energy is -1.356 eV/atom. The space group is I-42m. The mass density comes out at 3.8 g/cm³.

Cell lengths 7.006, 6.425, 6.425 Å; angles 79.10, 56.96, 56.96 degrees
Sites, in units of the cell vectors:
Se  0.000  0.466  0.133
Se  0.599  0.534  0.867
Li  0.500  0.250  0.750
Se  0.000  0.867  0.534
Ti  0.000  0.500  0.500
Sr  0.000  0.000  0.000
Li  0.500  0.750  0.250
Se  0.401  0.133  0.466

***

Entry 3:
Density functional theory data (PBE) for a geometry-optimized Tc3SbCl structure.

Properties
The value obtained for the raw formation energy is 1.106 eV/atom. The space group is Pm-3m. The mass density comes out at 8.6 g/cm³.

Cell lengths 4.427, 4.427, 4.427 Å; angles 90.00, 90.00, 90.00 degrees
Last column: magnetic moment on the atom in μB.
Sites, in units of the cell vectors:
Cl  0.000  0.000  0.000  0.00
Sb  0.500  0.500  0.500  0.01
Tc  0.000  0.000  0.500  0.16
Tc  0.500  0.000  0.000  0.19
Tc  0.000  0.500  0.000  0.18

***

Entry 4:
Density functional theory data (PBE) for a geometry-optimized AlInTcN2 structure.

Properties
The value obtained for the raw formation energy is 0.585 eV/atom. The space group is P4/mmm. The mass density comes out at 5.5 g/cm³.

Cell lengths 3.902, 5.310, 3.902 Å; angles 90.00, 90.00, 90.00 degrees
Last column: magnetic moment on the atom in μB.
Sites, in units of the cell vectors:
Tc  0.000  0.000  0.000  0.02
N  0.000  0.000  0.500  0.16
In  0.500  0.500  0.500  0.02
N  0.500  0.000  0.000  0.10
Al  0.000  0.500  0.000  0.02

***

Entry 5:
Density functional theory data (PBE) for a geometry-optimized KCa4Si8H16O29 structure.

Properties
The space group is P4/mnc. Its calculated total energy is -742.8 eV for the cell shown. The mass density comes out at 2.3 g/cm³.

Cell lengths 9.056, 9.056, 16.036 Å; angles 90.00, 90.00, 90.00 degrees
Last column: magnetic moment on the atom in μB.
Sites, in units of the cell vectors:
K  0.000  0.000  0.500  0.00
H  0.830  0.445  0.088  0.00
O  0.453  0.787  0.089  0.00
O  0.397  0.235  0.592  0.02
O  0.084  0.190  0.218  0.00
O  0.863  0.363  0.750  0.00
H  0.670  0.945  0.412  0.00
H  0.222  0.430  0.148  0.00
O  0.735  0.897  0.092  0.02
O  0.765  0.397  0.592  0.02
H  0.445  0.170  0.912  0.00
O  0.584  0.310  0.282  0.00
Si  0.587  0.726  0.690  0.00
H  0.930  0.722  0.648  0.00
Si  0.913  0.226  0.810  0.00
Si  0.087  0.774  0.810  0.00
O  0.713  0.047  0.411  0.00
O  0.690  0.584  0.282  0.00
H  0.330  0.055  0.412  0.00
Si  0.587  0.726  0.310  0.00
H  0.055  0.670  0.588  0.00
H  0.055  0.670  0.412  0.00
Si  0.774  0.913  0.810  0.00
O  0.416  0.690  0.718  0.00
H  0.170  0.555  0.088  0.00
H  0.070  0.278  0.648  0.00
H  0.430  0.778  0.852  0.00
O  0.810  0.084  0.782  0.00
O  0.453  0.787  0.911  0.00
Ca  0.752  0.110  0.000  -0.01
H  0.722  0.070  0.352  0.00
O  0.863  0.363  0.250  0.00
O  0.547  0.213  0.911  0.00
O  0.603  0.765  0.408  0.02
O  0.916  0.810  0.218  0.00
H  0.722  0.070  0.648  0.00
Ca  0.110  0.248  0.000  -0.01
O  0.897  0.265  0.092  0.02
Ca  0.252  0.390  0.500  -0.01
Si  0.726  0.413  0.690  0.00
O  0.000  0.000  0.000  0.67
Si  0.087  0.774  0.190  0.00
O  0.137  0.637  0.750  0.00
H  0.555  0.830  0.912  0.00
Ca  0.890  0.752  0.000  -0.01
O  0.190  0.916  0.218  0.00
Si  0.413  0.274  0.310  0.00
O  0.690  0.584  0.718  0.00
Si  0.913  0.226  0.190  0.00
H  0.430  0.778  0.148  0.00
O  0.047  0.287  0.589  0.00
O  0.713  0.047  0.589  0.00
Ca  0.748  0.610  0.500  -0.01
O  0.397  0.235  0.408  0.02
H  0.945  0.330  0.588  0.00
O  0.765  0.397  0.408  0.02
O  0.103  0.735  0.908  0.02
Si  0.774  0.913  0.190  0.00
H  0.278  0.930  0.648  0.00
H  0.170  0.555  0.912  0.00
H  0.330  0.055  0.588  0.00
Si  0.726  0.413  0.310  0.00
Ca  0.610  0.252  0.500  -0.01
O  0.637  0.863  0.750  0.00
H  0.070  0.278  0.352  0.00
O  0.637  0.863  0.250  0.00
H  0.570  0.222  0.852  0.00
H  0.555  0.830  0.088  0.00
O  0.310  0.416  0.718  0.00
O  0.603  0.765  0.592  0.02
K  0.500  0.500  0.000  0.00
O  0.500  0.500  0.500  0.67
O  0.416  0.690  0.282  0.00
O  0.735  0.897  0.908  0.02
O  0.213  0.453  0.089  0.00
O  0.310  0.416  0.282  0.00
O  0.047  0.287  0.411  0.00
O  0.584  0.310  0.718  0.00
O  0.265  0.103  0.908  0.02
H  0.445  0.170  0.088  0.00
O  0.103  0.735  0.092  0.02
O  0.363  0.137  0.250  0.00
H  0.222  0.430  0.852  0.00
Si  0.274  0.587  0.310  0.00
H  0.570  0.222  0.148  0.00
Ca  0.248  0.890  0.000  -0.01
O  0.363  0.137  0.750  0.00
Ca  0.390  0.748  0.500  -0.01
Si  0.413  0.274  0.690  0.00
O  0.287  0.953  0.589  0.00
Si  0.274  0.587  0.690  0.00
O  0.287  0.953  0.411  0.00
O  0.953  0.713  0.589  0.00
H  0.945  0.330  0.412  0.00
O  0.787  0.547  0.089  0.00
O  0.897  0.265  0.908  0.02
O  0.916  0.810  0.782  0.00
O  0.084  0.190  0.782  0.00
O  0.810  0.084  0.218  0.00
O  0.953  0.713  0.411  0.00
O  0.235  0.603  0.408  0.02
H  0.670  0.945  0.588  0.00
O  0.265  0.103  0.092  0.02
H  0.278  0.930  0.352  0.00
H  0.930  0.722  0.352  0.00
O  0.235  0.603  0.592  0.02
O  0.190  0.916  0.782  0.00
H  0.778  0.570  0.852  0.00
O  0.547  0.213  0.089  0.00
O  0.137  0.637  0.250  0.00
Si  0.226  0.087  0.190  0.00
H  0.830  0.445  0.912  0.00
H  0.778  0.570  0.148  0.00
O  0.213  0.453  0.911  0.00
Si  0.226  0.087  0.810  0.00
O  0.787  0.547  0.911  0.00

***

Entry 6:
Density functional theory data (PBE) for a geometry-optimized PaAl2SiGe structure.

Properties
The value obtained for the raw formation energy is -0.111 eV/atom. The space group is Cmcm. The mass density comes out at 6.4 g/cm³.

Cell lengths 3.973, 6.450, 8.181 Å; angles 90.00, 90.00, 107.94 degrees
Sites, in units of the cell vectors:
Pa  0.574  0.148  0.250
Pa  0.426  0.852  0.750
Si  0.744  0.489  0.750
Al  0.808  0.615  0.434
Si  0.256  0.511  0.250
Al  0.192  0.385  0.934
Al  0.192  0.385  0.566
Ge  0.000  0.000  0.500
Al  0.808  0.615  0.066
Ge  0.000  0.000  0.000

***

Entry 7:
Density functional theory data (PBE) for a geometry-optimized Pa3PbN2O6 structure.

Properties
The value obtained for the raw formation energy is -2.346 eV/atom. The space group is C2/m. The mass density comes out at 8.6 g/cm³.

Cell lengths 4.658, 7.144, 6.964 Å; angles 120.86, 88.86, 90.00 degrees
Last column: magnetic moment on the atom in μB.
Sites, in units of the cell vectors:
N  0.726  0.337  0.674  0.25
Pa  0.500  0.000  0.500  -0.02
O  0.759  0.368  0.184  0.06
O  0.294  0.187  0.374  0.01
Pb  0.500  0.000  0.000  0.01
O  0.241  0.184  0.816  0.06
N  0.274  0.663  0.326  0.25
Pa  0.000  0.500  0.000  -0.01
Pa  0.500  0.500  0.500  -0.02
O  0.706  0.813  0.626  0.01
O  0.759  0.816  0.184  0.06
O  0.241  0.632  0.816  0.06

***

Entry 8:
Density functional theory data (PBE) for a geometry-optimized K4Sm3RuO8 structure.

Properties
The value obtained for the raw formation energy is -2.170 eV/atom. The space group is R-3m. The mass density comes out at 5.3 g/cm³.

Cell lengths 6.945, 7.429, 6.945 Å; angles 117.88, 120.00, 90.00 degrees
Last column: magnetic moment on the atom in μB.
Sites, in units of the cell vectors:
Ru  0.000  0.500  0.000  0.79
O  0.779  0.311  0.559  0.03
K  0.000  0.000  0.500  0.00
Sm  0.500  0.500  0.500  0.00
K  0.500  0.000  0.000  0.00
O  0.221  0.688  0.968  0.03
O  0.269  0.308  0.539  0.00
O  0.779  0.312  0.032  0.03
O  0.221  0.689  0.441  0.03
O  0.253  0.312  0.032  0.03
O  0.731  0.692  0.461  0.00
K  0.000  0.000  0.000  0.00
Sm  0.000  0.500  0.500  0.00
Sm  0.500  0.500  0.000  0.00
K  0.500  0.000  0.500  0.00
O  0.747  0.688  0.968  0.03

***

- Which of these has the highest mass density?
  YAgHgRh

***

- Look up the mass density of the eighth one.
  5.3 g/cm³